# 1
The following is a PBE calculation of a relaxed CsTiSnS2 crystal, from the Alexandria database.

Structure (CIF):
```
data_CsTiSnS2
_cell_length_a 4.879
_cell_length_b 4.879
_cell_length_c 5.935
_cell_angle_alpha 90.00
_cell_angle_beta 90.00
_cell_angle_gamma 90.00
_symmetry_space_group_name_H-M 'P 1'
_symmetry_Int_Tables_number 1
loop_
_symmetry_equiv_pos_as_xyz
'x,y,z'
loop_
_atom_site_label
_atom_site_type_symbol
_atom_site_fract_x
_atom_site_fract_y
_atom_site_fract_z
Cs1 Cs 0.000 0.000 0.000
Ti1 Ti 0.000 0.000 0.500
Sn1 Sn 0.500 0.500 0.000
S1 S 0.000 0.500 0.500
S2 S 0.500 0.000 0.500
```

Results
N(E_F): 0.7551 states/eV/atom
Raw formation energy: -0.0034 eV/atom
Symmetry: No. 123
Magnetization: 1.32 μB per cell

---

# 2
The following is a PBE calculation of a relaxed Ti4Ge2Mo crystal, from the Alexandria database.

Structure (CIF):
```
data_Ti4Ge2Mo
_cell_length_a 7.816
_cell_length_b 7.816
_cell_length_c 7.816
_cell_angle_alpha 32.88
_cell_angle_beta 32.88
_cell_angle_gamma 32.88
_symmetry_space_group_name_H-M 'P 1'
_symmetry_Int_Tables_number 1
loop_
_symmetry_equiv_pos_as_xyz
'x,y,z'
loop_
_atom_site_label
_atom_site_type_symbol
_atom_site_fract_x
_atom_site_fract_y
_atom_site_fract_z
Ti1 Ti 0.127 0.127 0.127
Ti2 Ti 0.269 0.269 0.269
Ti3 Ti 0.731 0.731 0.731
Ti4 Ti 0.873 0.873 0.873
Ge1 Ge 0.386 0.386 0.386
Ge2 Ge 0.614 0.614 0.614
Mo1 Mo 0.500 0.500 0.500
```

Results
N(E_F): 1.0458 states/eV/atom
DFT formation energy: -0.17 eV per atom
Symmetry: No. 166
Magnetization: 0.00 μB per cell